The following is a DFT calculation (PBE-GGA) of BaMgP2S after structural relaxation.

Results
Crystal system: tetragonal
Magnetization: 0.3 μB/f.u.
Energy above the lowest structure with this stoichiometry: 614 kJ/mol of formula units
Formation energy from raw total energies: 22.015 kcal/mol of atoms
Fermi-level density of states: 5.8 states/eV/f.u.
SG: No. 123

a b c (Å): 5.5549 5.5549 5.6431
angles (deg): 90.00 90.00 90.00
Each line ends with the local moment (μB).
Element x y z (fractional)
Mg 0.5000 0.5000 0.5000  -0.01
P 0.5000 0.0000 0.0000  0.07
Ba 0.0000 0.0000 0.0000  -0.01
S 0.0000 0.0000 0.5000  0.03
P 0.0000 0.5000 0.0000  0.07

---

The following is a DFT calculation (PBE-GGA) of TaBe17Cu after structural relaxation.

Results
Formation energy: -8.1 kJ per mole of atoms
Crystal system: trigonal
Magnetization: 0.0 μB/f.u.
Fermi-level density of states: 4.6 states/eV/f.u.
SG: No. 160

a b c (Å): 5.5540 5.5540 5.5540
angles (deg): 82.34 82.34 82.34
Element x y z (fractional)
Be 0.3440 0.3440 0.8373
Ta 0.6620 0.6620 0.6620
Be 0.0999 0.0999 0.0999
Be 0.8989 0.8989 0.8989
Be 0.8373 0.3440 0.3440
Be 0.0051 0.2979 0.6910
Be 0.0051 0.6910 0.2979
Be 0.2979 0.6910 0.0051
Be 0.6910 0.0051 0.2979
Be 0.9843 0.5033 0.9843
Cu 0.3815 0.3815 0.3815
Be 0.5033 0.9843 0.9843
Be 0.6910 0.2979 0.0051
Be 0.6555 0.6555 0.1614
Be 0.6555 0.1614 0.6555
Be 0.1614 0.6555 0.6555
Be 0.3440 0.8373 0.3440
Be 0.2979 0.0051 0.6910
Be 0.9843 0.9843 0.5033

---

Q: Which value of Fermi-level density of states does entry 1 give?
A: 5.8 states/eV/f.u.

---

Repeat the second record exactly.
The following is a DFT calculation (PBE-GGA) of TaBe17Cu after structural relaxation.

Results
Formation energy: -8.1 kJ per mole of atoms
Crystal system: trigonal
Magnetization: 0.0 μB/f.u.
Fermi-level density of states: 4.6 states/eV/f.u.
SG: No. 160

a b c (Å): 5.5540 5.5540 5.5540
angles (deg): 82.34 82.34 82.34
Element x y z (fractional)
Be 0.3440 0.3440 0.8373
Ta 0.6620 0.6620 0.6620
Be 0.0999 0.0999 0.0999
Be 0.8989 0.8989 0.8989
Be 0.8373 0.3440 0.3440
Be 0.0051 0.2979 0.6910
Be 0.0051 0.6910 0.2979
Be 0.2979 0.6910 0.0051
Be 0.6910 0.0051 0.2979
Be 0.9843 0.5033 0.9843
Cu 0.3815 0.3815 0.3815
Be 0.5033 0.9843 0.9843
Be 0.6910 0.2979 0.0051
Be 0.6555 0.6555 0.1614
Be 0.6555 0.1614 0.6555
Be 0.1614 0.6555 0.6555
Be 0.3440 0.8373 0.3440
Be 0.2979 0.0051 0.6910
Be 0.9843 0.9843 0.5033